Record 1
Density functional theory data (PBE) for a geometry-optimized KVSbRu2 structure.

CIF file:
```
data_KVSbRu2
_symmetry_space_group_name_H-M 'P 4/m m m'
_symmetry_Int_Tables_number 123
_symmetry_space_group_name_Hall '-P 4 2'
_cell_length_a 4.981
_cell_length_b 4.981
_cell_length_c 5.040
_cell_angle_alpha 90.00
_cell_angle_beta 90.00
_cell_angle_gamma 90.00
loop_
_atom_site_label
_atom_site_type_symbol
_atom_site_fract_x
_atom_site_fract_y
_atom_site_fract_z
K1 K 0.000 0.000 0.000
V1 V 0.500 0.500 0.000
Sb1 Sb 0.500 0.500 0.500
Ru1 Ru 0.000 0.500 0.500
```

- total energy (eV/atom) = -5.1219

---

Record 2
Density functional theory data (PBE) for a geometry-optimized AgSbF3 structure.

CIF file:
```
data_AgSbF3
_symmetry_space_group_name_H-M 'P m -3 m'
_symmetry_Int_Tables_number 221
_symmetry_space_group_name_Hall '-P 4 2 3'
_cell_length_a 4.515
_cell_length_b 4.515
_cell_length_c 4.515
_cell_angle_alpha 90.00
_cell_angle_beta 90.00
_cell_angle_gamma 90.00
loop_
_atom_site_label
_atom_site_type_symbol
_atom_site_fract_x
_atom_site_fract_y
_atom_site_fract_z
Ag1 Ag 0.000 0.000 0.000
Sb1 Sb 0.500 0.500 0.500
F1 F 0.000 0.500 0.500
```

- distance to the lowest polymorph of the same formula (meV per atom) = 0

---

Record 3
Density functional theory data (PBE) for a geometry-optimized ZnGaMo3 structure.

CIF file:
```
data_ZnGaMo3
_symmetry_space_group_name_H-M 'P m -3 m'
_symmetry_Int_Tables_number 221
_symmetry_space_group_name_Hall '-P 4 2 3'
_cell_length_a 4.596
_cell_length_b 4.596
_cell_length_c 4.596
_cell_angle_alpha 90.00
_cell_angle_beta 90.00
_cell_angle_gamma 90.00
loop_
_atom_site_label
_atom_site_type_symbol
_atom_site_fract_x
_atom_site_fract_y
_atom_site_fract_z
Zn1 Zn 0.000 0.000 0.000
Ga1 Ga 0.500 0.500 0.500
Mo1 Mo 0.000 0.500 0.500
```

- distance to the lowest polymorph of the same formula (meV per atom) = 0

---

Record 4
Density functional theory data (PBE) for a geometry-optimized Ca2BeGaRh2 structure.

CIF file:
```
data_Ca2BeGaRh2
_symmetry_space_group_name_H-M 'I b a m'
_symmetry_Int_Tables_number 72
_symmetry_space_group_name_Hall '-I 2 2c'
_cell_length_a 5.847
_cell_length_b 13.512
_cell_length_c 5.839
_cell_angle_alpha 90.00
_cell_angle_beta 90.00
_cell_angle_gamma 90.00
loop_
_atom_site_label
_atom_site_type_symbol
_atom_site_fract_x
_atom_site_fract_y
_atom_site_fract_z
Ca1 Ca 0.242 0.170 0.000
Be1 Be 0.000 0.500 0.250
Ga1 Ga 0.000 0.000 0.250
Rh1 Rh 0.215 0.407 0.000
```

- total energy (eV/atom) = -4.7485

---

Record 5
Density functional theory data (PBE) for a geometry-optimized HWIN2 structure.

CIF file:
```
data_HWIN2
_symmetry_space_group_name_H-M 'P 4/m m m'
_symmetry_Int_Tables_number 123
_symmetry_space_group_name_Hall '-P 4 2'
_cell_length_a 3.864
_cell_length_b 3.864
_cell_length_c 5.788
_cell_angle_alpha 90.00
_cell_angle_beta 90.00
_cell_angle_gamma 90.00
loop_
_atom_site_label
_atom_site_type_symbol
_atom_site_fract_x
_atom_site_fract_y
_atom_site_fract_z
H1 H 0.000 0.000 0.000
W1 W 0.500 0.500 0.500
I1 I 0.500 0.500 0.000
N1 N 0.000 0.500 0.500
```

- distance to the lowest polymorph of the same formula (meV per atom) = 0

---

Record 6
Density functional theory data (PBE) for a geometry-optimized TePt2CCl structure.

CIF file:
```
data_TePt2CCl
_symmetry_space_group_name_H-M 'P 4/m m m'
_symmetry_Int_Tables_number 123
_symmetry_space_group_name_Hall '-P 4 2'
_cell_length_a 5.106
_cell_length_b 5.106
_cell_length_c 4.230
_cell_angle_alpha 90.00
_cell_angle_beta 90.00
_cell_angle_gamma 90.00
loop_
_atom_site_label
_atom_site_type_symbol
_atom_site_fract_x
_atom_site_fract_y
_atom_site_fract_z
Te1 Te 0.000 0.000 0.000
Pt1 Pt 0.000 0.500 0.000
C1 C 0.000 0.000 0.500
Cl1 Cl 0.500 0.500 0.500
```

- total energy (eV/atom) = -3.6444